[1]
This record from Alexandria describes a geometry-optimized Tl2B4O7 structure. The functional is PBE-GGA.

Structure (POSCAR):
```
Tl2B4O7
1.0
-0.059 3.916 -5.622
-7.976 -9.312 -5.911
-5.684 9.883 7.430
B O Tl
24 42 12
direct
0.737 0.692 0.980 B
0.090 0.661 0.256 B
0.646 0.375 0.637 B
0.166 0.110 0.910 B
0.908 0.763 0.170 B
0.910 0.339 0.744 B
0.593 0.778 0.508 B
0.354 0.625 0.363 B
0.784 0.764 0.341 B
0.597 0.144 0.324 B
0.043 0.284 0.214 B
0.913 0.103 0.196 B
0.087 0.897 0.804 B
0.957 0.716 0.786 B
0.248 0.187 0.299 B
0.263 0.308 0.020 B
0.752 0.813 0.701 B
0.092 0.237 0.830 B
0.831 0.541 0.794 B
0.216 0.236 0.659 B
0.169 0.459 0.206 B
0.407 0.222 0.492 B
0.834 0.890 0.090 B
0.403 0.856 0.676 B
0.198 0.285 0.283 O
0.327 0.395 0.124 O
0.724 0.304 0.672 O
0.018 0.373 0.195 O
0.761 0.792 0.257 O
0.982 0.627 0.805 O
0.660 0.816 0.429 O
0.178 0.330 0.941 O
0.559 0.148 0.424 O
0.240 0.220 0.420 O
0.802 0.715 0.717 O
0.079 0.539 0.177 O
0.441 0.852 0.576 O
0.921 0.461 0.823 O
0.509 0.658 0.441 O
0.276 0.696 0.328 O
0.947 0.867 0.160 O
0.086 0.727 0.199 O
0.163 0.006 0.904 O
0.213 0.874 0.708 O
0.728 0.483 0.681 O
0.076 0.308 0.663 O
0.924 0.692 0.337 O
0.340 0.184 0.571 O
0.837 0.994 0.096 O
0.239 0.208 0.743 O
0.113 0.090 0.229 O
0.822 0.670 0.059 O
0.095 0.806 0.833 O
0.673 0.605 0.876 O
0.905 0.194 0.167 O
0.914 0.273 0.801 O
0.714 0.804 0.003 O
0.286 0.196 0.997 O
0.491 0.342 0.559 O
0.787 0.126 0.292 O
0.887 0.910 0.771 O
0.272 0.517 0.319 O
0.548 0.842 0.741 O
0.053 0.133 0.840 O
0.760 0.780 0.580 O
0.452 0.158 0.259 O
0.703 0.058 0.943 Tl
0.876 0.583 0.453 Tl
0.017 0.947 0.601 Tl
0.604 0.120 0.671 Tl
0.780 0.442 0.019 Tl
0.396 0.880 0.329 Tl
0.124 0.417 0.547 Tl
0.983 0.053 0.399 Tl
0.297 0.942 0.057 Tl
0.550 0.361 0.264 Tl
0.220 0.558 0.981 Tl
0.450 0.639 0.736 Tl
```

Fermi-level density of states: 0.0 states/eV/cell
total magnetic moment: 0.00 μB per formula unit
E_form (uncorrected): -2.096 eV/atom
theoretical density: 5.085 g/cm³
SG: No. 2



[2]
This record from Alexandria describes a geometry-optimized Tl2B2O5 structure. The functional is PBE-GGA.

Structure (POSCAR):
```
Tl2B2O5
1.0
-0.255 3.867 3.790
-3.600 -2.115 -1.960
0.812 -4.571 4.720
O Tl B
5 2 2
direct
0.673 0.345 0.989 O
0.850 0.699 0.300 O
0.150 0.301 0.700 O
0.000 0.000 0.000 O
0.327 0.655 0.011 O
0.531 0.061 0.292 Tl
0.469 0.939 0.708 Tl
0.156 0.313 0.908 B
0.844 0.687 0.092 B
```

Fermi-level density of states: 0.4 states/eV/cell
total magnetic moment: 0.00 μB per formula unit
E_form (uncorrected): -1.428 eV/atom
theoretical density: 6.360 g/cm³
SG: No. 12